[1]
LiSbPb2 | SCAN | PBEsol geometry

Cell lengths 4.5544, 4.6244, 5.9899 Å; angles 112.71, 112.34, 90.00 degrees
Fractional coordinates of all 4 atoms:
Sb: 0.5000 0.0000 0.0000
Li: 0.0000 0.5000 0.0000
Pb: 0.2487 0.2487 0.4974
Pb: 0.7513 0.7513 0.5026

## Properties
spin magnetization = 0.0000 μB/atom
V = 106 Å³/f.u.
energy relative to the elements, uncorrected = -0.11 eV per atom
total DFT energy (no corrections) = -47.9166 eV/atom

***

[2]
ScCu | SCAN | PBEsol geometry

Cell lengths 3.2055, 4.5463, 4.5318 Å; angles 90.00, 90.00, 90.00 degrees
Fractional coordinates of all 4 atoms:
Sc: 0.5000 0.7549 0.2500
Cu: 0.0000 0.7358 0.7500
Cu: 0.0000 0.2642 0.2500
Sc: 0.5000 0.2451 0.7500

## Properties
spin magnetization = 0.0000 μB/atom
V = 33 Å³/f.u.
energy of formation = -34 kJ/mol of atoms
total DFT energy (no corrections) = -15.0682 eV/atom